# DyGa3Ge, relaxed, DFT PBE
data_DyGa3Ge
_cell_length_a 9.507
_cell_length_b 2.969
_cell_length_c 7.952
_cell_angle_alpha 90.00
_cell_angle_beta 90.00
_cell_angle_gamma 90.00
_space_group_name_H-M_alt 'P 1'
_space_group_IT_number 1
_space_group_name_Hall 'P 1'
loop_
_atom_site_label
_atom_site_type_symbol
_atom_site_fract_x
_atom_site_fract_y
_atom_site_fract_z
Dy1 Dy 0.250 0.000 0.168
Dy2 Dy 0.750 0.000 0.832
Ga1 Ga 0.000 0.500 0.000
Ga2 Ga 0.002 0.500 0.660
Ga3 Ga 0.498 0.500 0.660
Ga4 Ga 0.500 0.500 0.000
Ga5 Ga 0.502 0.500 0.340
Ga6 Ga 0.998 0.500 0.340
Ge1 Ge 0.250 0.500 0.808
Ge2 Ge 0.750 0.500 0.192
# - Formation energy: -0.102 eV per atom